The following is a DFT calculation (GGA-PBE) of a relaxed La2Al3Zn5 crystal.

Structure (CIF):
```
data_La2Al3Zn5
_cell_length_a 10.706
_cell_length_b 12.260
_cell_length_c 6.147
_cell_angle_alpha 90.00
_cell_angle_beta 90.00
_cell_angle_gamma 90.00
_space_group_name_H-M_alt 'I b a m'
_space_group_IT_number 72
_space_group_name_Hall '-I 2 2c'
loop_
_atom_site_label
_atom_site_fract_x
_atom_site_fract_y
_atom_site_fract_z
_atom_site_occupancy
La1 0.245 0.125 0.000 1
Al1 0.000 0.500 0.250 1
Al2 0.128 0.129 0.500 1
Zn1 0.000 0.000 0.250 1
Zn2 0.000 0.259 0.250 1
Zn3 0.137 0.376 0.000 1
```

Calculated values
E above lowest polymorph, meV/atom: 0
E_tot, eV/atom: -3.15
Formation energy, eV per atom: -0.406
Size of the total moment, μB per cell: 0.0